The following is a DFT calculation (PBE) of a geometry-optimized LiY2CdB structure.

Computed properties:
* space group: P4/mmm (123)
* E_form: -0.01 eV per atom

Geometry as POSCAR:
```
LiY2CdB
1.0
5.093 0.000 0.000
0.000 5.093 0.000
0.000 0.000 4.381
Li Y Cd B
1 2 1 1
direct
0.000 0.000 0.000 Li
0.000 0.500 0.500 Y
0.500 0.000 0.500 Y
0.500 0.500 0.000 Cd
0.000 0.000 0.500 B
```